1 | A plane-wave DFT calculation with GGA-PBE was carried out for a relaxed InPd2Se2 crystal.

abc: 6.905 6.905 6.905
angles: 144.36 144.36 51.30
Fractional coordinates of all 5 atoms:
In 0.000 0.000 0.000
Pd 0.250 0.750 0.500
Pd 0.750 0.250 0.500
Se 0.366 0.366 0.000
Se 0.634 0.634 0.000

For the total magnetic moment, the calculation gives 0.00 μB/f.u. Its symmetry is No. 139.

2 | A plane-wave DFT calculation with GGA-PBE was carried out for a relaxed InPd2Se2 crystal.

abc: 7.927 7.927 3.097
angles: 90.00 90.00 90.00
Fractional coordinates of all 10 atoms:
In 0.000 0.000 0.000
In 0.500 0.500 0.000
Pd 0.160 0.340 0.500
Pd 0.340 0.840 0.500
Pd 0.660 0.160 0.500
Pd 0.840 0.660 0.500
Se 0.151 0.651 0.000
Se 0.349 0.151 0.000
Se 0.651 0.849 0.000
Se 0.849 0.349 0.000

For the total magnetic moment, the calculation gives 0.00 μB/f.u. Its symmetry is No. 127.

3 | A plane-wave DFT calculation with GGA-PBE was carried out for a relaxed InPd2Se2 crystal.

abc: 7.392 7.392 3.518
angles: 90.00 90.00 90.00
Fractional coordinates of all 10 atoms:
In 0.000 0.000 0.000
In 0.500 0.500 0.000
Pd 0.142 0.358 0.000
Pd 0.358 0.858 0.000
Pd 0.642 0.142 0.000
Pd 0.858 0.642 0.000
Se 0.163 0.663 0.500
Se 0.337 0.163 0.500
Se 0.663 0.837 0.500
Se 0.837 0.337 0.500

For the total magnetic moment, the calculation gives 0.00 μB/f.u. Its symmetry is No. 127.

1 takes first place; second place is 0.055 eV/atom up.